(1)
DFT (PBE) results for a geometry-optimized In2GeB structure.

Uncorrected energy ... -28.0 eV per cell
Energy above the most stable polymorph in this dataset ... 0.000 eV per atom
Spin magnetization ... 0.0 Bohr magnetons per cell

Unit cell a=5.122 b=5.122 c=7.874 alpha=71.02 beta=71.02 gamma=90.00
Fractional coordinates of all 8 atoms:
Ge1 0.000 0.000 0.000
Ge2 0.750 0.250 0.500
B1 0.500 0.500 0.000
B2 0.250 0.750 0.500
In1 0.555 0.125 0.250
In2 0.195 0.625 0.250
In3 0.375 0.445 0.750
In4 0.875 0.805 0.750

(2)
DFT (PBE) results for a geometry-optimized InGe3B structure.

Uncorrected energy ... -20.3 eV per cell
Energy above the most stable polymorph in this dataset ... 0.000 eV per atom
Spin magnetization ... 0.0 Bohr magnetons per cell

Unit cell a=4.525 b=4.525 c=4.525 alpha=90.00 beta=90.00 gamma=90.00
Fractional coordinates of all 5 atoms:
Ge1 0.000 0.500 0.000
Ge2 0.000 0.000 0.500
Ge3 0.500 0.000 0.000
B1 0.000 0.000 0.000
In1 0.500 0.500 0.500

(3)
DFT (PBE) results for a geometry-optimized InGe2BN structure.

Uncorrected energy ... -16.8 eV per cell
Spin magnetization ... 0.0 Bohr magnetons per cell

Unit cell a=5.411 b=4.038 c=5.411 alpha=90.00 beta=90.00 gamma=90.00
Fractional coordinates of all 5 atoms:
Ge1 0.000 0.000 0.500
Ge2 0.500 0.000 0.000
N1 0.000 0.500 0.000
B1 0.500 0.500 0.500
In1 0.000 0.000 0.000

(4)
DFT (PBE) results for a geometry-optimized InGeBP2 structure.

Uncorrected energy ... -17.3 eV per cell
Spin magnetization ... 0.0 Bohr magnetons per cell

Unit cell a=5.155 b=4.280 c=5.155 alpha=90.00 beta=90.00 gamma=90.00
Fractional coordinates of all 5 atoms:
P1 0.000 0.000 0.500
P2 0.500 0.000 0.000
Ge1 0.500 0.500 0.500
B1 0.000 0.500 0.000
In1 0.000 0.000 0.000

(5)
DFT (PBE) results for a geometry-optimized InGeB2Pb structure.

Uncorrected energy ... -16.6 eV per cell
Spin magnetization ... 0.0 Bohr magnetons per cell

Unit cell a=4.439 b=5.725 c=4.439 alpha=90.00 beta=90.00 gamma=90.00
Fractional coordinates of all 5 atoms:
Pb1 0.500 0.500 0.500
Ge1 0.000 0.500 0.000
B1 0.000 0.000 0.500
B2 0.500 0.000 0.000
In1 0.000 0.000 0.000

(6)
DFT (PBE) results for a geometry-optimized In2GeBPt6 structure.

Uncorrected energy ... -56.0 eV per cell
Spin magnetization ... 0.0 Bohr magnetons per cell

Unit cell a=5.554 b=5.554 c=7.115 alpha=113.08 beta=113.08 gamma=90.05
Fractional coordinates of all 10 atoms:
In1 0.775 0.275 0.550
In2 0.274 0.775 0.550
Ge1 0.582 0.582 0.160
B1 0.043 0.044 0.085
Pt1 0.711 0.711 0.915
Pt2 0.778 0.778 0.555
Pt3 0.205 0.206 0.917
Pt4 0.712 0.205 0.917
Pt5 0.215 0.216 0.432
Pt6 0.205 0.712 0.917

(7)
DFT (PBE) results for a geometry-optimized InGeB2Te structure.

Uncorrected energy ... -17.7 eV per cell
Spin magnetization ... 0.0 Bohr magnetons per cell

Unit cell a=4.227 b=5.844 c=4.227 alpha=90.00 beta=90.00 gamma=90.00
Fractional coordinates of all 5 atoms:
Ge1 0.000 0.000 0.000
Te1 0.500 0.500 0.500
B1 0.000 0.000 0.500
B2 0.500 0.000 0.000
In1 0.000 0.500 0.000

(8)
DFT (PBE) results for a geometry-optimized Tl2InGeB structure.

Uncorrected energy ... -11.4 eV per cell
Spin magnetization ... 0.0 Bohr magnetons per cell

Unit cell a=5.800 b=5.268 c=5.800 alpha=90.00 beta=90.00 gamma=90.00
Fractional coordinates of all 5 atoms:
Tl1 0.000 0.000 0.500
Tl2 0.500 0.000 0.000
B1 0.500 0.500 0.500
Ge1 0.000 0.500 0.000
In1 0.000 0.000 0.000

(9)
DFT (PBE) results for a geometry-optimized InGeB2W structure.

Uncorrected energy ... -23.0 eV per cell
Spin magnetization ... 0.0 Bohr magnetons per cell

Unit cell a=4.020 b=5.409 c=4.020 alpha=90.00 beta=90.00 gamma=90.00
Fractional coordinates of all 5 atoms:
Ge1 0.000 0.000 0.000
B1 0.000 0.000 0.500
B2 0.500 0.000 0.000
W1 0.500 0.500 0.500
In1 0.000 0.500 0.000

(10)
DFT (PBE) results for a geometry-optimized Ge2BIr structure.

Uncorrected energy ... -49.5 eV per cell
Spin magnetization ... 0.0 Bohr magnetons per cell

Unit cell a=5.406 b=2.948 c=8.046 alpha=90.00 beta=108.46 gamma=90.00
Fractional coordinates of all 8 atoms:
Ge1 0.282 0.000 0.574
Ge2 0.811 0.000 0.541
Ge3 0.988 0.500 0.167
Ge4 0.912 0.500 0.825
Ir1 0.399 0.000 0.292
Ir2 0.420 0.500 0.855
B1 0.430 0.000 0.038
B2 0.585 0.500 0.157

(11)
DFT (PBE) results for a geometry-optimized Ge2BIr structure.

Uncorrected energy ... -48.9 eV per cell
Spin magnetization ... 0.0 Bohr magnetons per cell

Unit cell a=4.092 b=5.993 c=6.260 alpha=112.21 beta=108.17 gamma=98.84
Fractional coordinates of all 8 atoms:
Ge1 0.269 0.901 0.594
Ge2 0.631 0.047 0.326
Ge3 0.413 0.473 0.637
Ge4 0.644 0.350 0.127
Ir1 0.972 0.248 0.815
Ir2 0.944 0.755 0.090
B1 0.375 0.616 0.023
B2 0.960 0.987 0.938

(12)
DFT (PBE) results for a geometry-optimized Ge2BIr structure.

Uncorrected energy ... -49.8 eV per cell
Spin magnetization ... 0.0 Bohr magnetons per cell

Unit cell a=5.908 b=2.935 c=7.353 alpha=90.00 beta=108.46 gamma=90.00
Fractional coordinates of all 8 atoms:
Ge1 0.731 0.500 0.389
Ge2 0.332 0.000 0.531
Ge3 0.761 0.000 0.771
Ge4 0.115 0.000 0.180
Ir1 0.092 0.500 0.709
Ir2 0.670 0.000 0.083
B1 0.422 0.500 0.940
B2 0.256 0.000 0.948

(13)
DFT (PBE) results for a geometry-optimized GeBIr3 structure.

Uncorrected energy ... -27.4 eV per cell
Energy above the most stable polymorph in this dataset ... 2.242 eV per atom
Spin magnetization ... 0.0 Bohr magnetons per cell

Unit cell a=4.548 b=4.548 c=4.548 alpha=90.00 beta=90.00 gamma=90.00
Fractional coordinates of all 5 atoms:
Ge1 0.000 0.000 0.000
Ir1 0.000 0.500 0.000
Ir2 0.000 0.000 0.500
Ir3 0.500 0.000 0.000
B1 0.500 0.500 0.500

(14)
DFT (PBE) results for a geometry-optimized GeB3Ir structure.

Uncorrected energy ... -28.0 eV per cell
Energy above the most stable polymorph in this dataset ... 0.000 eV per atom
Spin magnetization ... 0.0 Bohr magnetons per cell

Unit cell a=4.142 b=4.142 c=4.142 alpha=90.00 beta=90.00 gamma=90.00
Fractional coordinates of all 5 atoms:
Ge1 0.500 0.500 0.500
Ir1 0.000 0.000 0.000
B1 0.000 0.500 0.000
B2 0.000 0.000 0.500
B3 0.500 0.000 0.000